# Pu2Ga7Au

A geometry-optimized Pu2Ga7Au structure (PBE, Alexandria via LeMat-Bulk).

Cell lengths 4.2593, 4.2593, 10.8585 Å; angles 90.00, 90.00, 90.00 degrees
Closest atoms and distances in Å follow each position.
Space group P-4m2 (No. 115)
Asymmetric unit:
Pu (0.0000, 0.5000, 0.2440)  14 Ga 3.23-3.50, 2 Au 3.50
Ga (0.0000, 0.0000, 0.0000)  4 Ga 2.60
Ga (0.0000, 0.5000, 0.6382)  3 Ga 2.44-2.61, 2 Au 2.61
Ga (0.0000, 0.5000, 0.8629)  5 Ga 2.44-2.60
Ga (0.5000, 0.5000, 0.0000)  4 Ga 2.60
Ga (0.5000, 0.5000, 0.5000)  4 Ga 2.61
Au (0.0000, 0.0000, 0.5000)  4 Ga 2.61

Computed properties:
density	9.89	Mg/m³
calculated formation energy	-3.18	eV per formula unit

=====

# PuGaAu11

A geometry-optimized PuGaAu11 structure (PBE, Alexandria via LeMat-Bulk).

Cell lengths 5.5207, 13.4453, 7.1893 Å; angles 90.00, 108.41, 90.00 degrees
Closest atoms and distances in Å follow each position.
Space group C2/m (No. 12)
Asymmetric unit:
Pu (0.0000, 0.0000, 0.0000)  18 Au 3.34-3.63
Ga (0.0000, 0.5000, 0.5000)  6 Au 2.61-2.76
Au (0.0000, 0.0000, 0.5000)  2 Ga 2.76, 8 Au 2.82-2.92
Au (0.0788, 0.3950, 0.2187)  1 Ga 2.61, 4 Au 2.79-2.92
Au (0.1461, 0.1751, 0.3478)  9 Au 2.82-3.15, 1 Ga 3.03
Au (0.2500, 0.2500, 0.0000)  10 Au 2.76-2.93

Computed properties:
density	16.27	Mg/m³
calculated formation energy	-1.79	eV per formula unit

=====

# PuGa5Au7

A geometry-optimized PuGa5Au7 structure (PBE, Alexandria via LeMat-Bulk).

Cell lengths 10.4245, 9.5185, 5.7079 Å; angles 90.00, 120.22, 90.00 degrees
Closest atoms and distances in Å follow each position.
Space group Cm (No. 8)
Asymmetric unit:
Pu (0.0000, 0.0000, 0.0000)  7 Au 3.04-3.32, 2 Ga 3.26
Ga (0.2421, 0.0000, 0.7484)  5 Au 2.67-2.78, 4 Ga 2.78-2.91
Ga (0.2612, 0.2318, 0.4722)  5 Au 2.62-2.76, 2 Ga 2.73-2.78
Ga (0.2686, 0.2714, 0.0053)  6 Au 2.64-2.91, 2 Ga 2.73-2.91
Au (0.0225, 0.1902, 0.5068)  5 Ga 2.62-2.82
Au (0.1490, 0.5000, 0.7142)  2 Ga 2.64, 2 Au 2.88-2.94
Au (0.2705, 0.5000, 0.3594)  4 Ga 2.65-2.96, 3 Au 2.88-2.94
Au (0.3368, 0.0000, 0.2780)  5 Ga 2.67-2.91, 1 Au 2.94
Au (0.4978, 0.1636, 0.9675)  5 Ga 2.71-2.98, 1 Au 3.02

Computed properties:
density	13.38	Mg/m³
calculated formation energy	-2.78	eV per formula unit

=====

# PuGa2Au2

A geometry-optimized PuGa2Au2 structure (PBE, Alexandria via LeMat-Bulk).

Cell lengths 4.3940, 4.3940, 10.7018 Å; angles 90.00, 90.00, 90.00 degrees
Closest atoms and distances in Å follow each position.
Space group P4/nmm (No. 129, origin choice 2)
Asymmetric unit:
Pu (0.2500, 0.2500, 0.2488)  8 Ga 3.35-3.47, 8 Au 3.35-3.45
Ga (0.2500, 0.2500, 0.8670)  5 Au 2.50-2.62
Ga (0.2500, 0.7500, 0.5000)  4 Au 2.62
Au (0.2500, 0.2500, 0.6336)  5 Ga 2.50-2.62
Au (0.2500, 0.7500, 0.0000)  4 Ga 2.62

Computed properties:
density	12.49	Mg/m³
calculated formation energy	-2.04	eV per formula unit

=====

# PuGa3Au

A geometry-optimized PuGa3Au structure (PBE, Alexandria via LeMat-Bulk).

Cell lengths 8.3298, 4.3617, 11.0809 Å; angles 90.00, 90.00, 90.00 degrees
Closest atoms and distances in Å follow each position.
Space group Pnma (No. 62)
Asymmetric unit:
Pu (0.1904, 0.2500, 0.0107)  7 Ga 3.05-3.09, 2 Au 3.32
Ga (0.0842, 0.2500, 0.6008)  3 Au 2.66-2.70, 2 Ga 2.74-2.77
Ga (0.1062, 0.7500, 0.8240)  2 Au 2.56-2.58, 2 Ga 2.86
Ga (0.1133, 0.7500, 0.1976)  4 Ga 2.74-2.86, 2 Au 2.81
Au (0.0890, 0.2500, 0.3568)  7 Ga 2.56-2.81

Computed properties:
density	10.73	Mg/m³
calculated formation energy	-1.60	eV per formula unit

=====

# PuGa3Au3

A geometry-optimized PuGa3Au3 structure (PBE, Alexandria via LeMat-Bulk).

Cell lengths 7.0517, 7.0517, 7.0517 Å; angles 90.00, 90.00, 90.00 degrees
Closest atoms and distances in Å follow each position.
Space group Pm-3n (No. 223)
Asymmetric unit:
Pu (0.0000, 0.0000, 0.0000)  12 Ga 3.94, 12 Au 3.94
Ga (0.0000, 0.2500, 0.5000)  4 Au 2.49
Au (0.0000, 0.5000, 0.2500)  4 Ga 2.49

Computed properties:
density	9.89	Mg/m³
calculated formation energy	-0.16	eV per formula unit